Density functional theory data (SCAN) for Na3LiTi2F12 at its PBEsol-relaxed geometry.

Cell and atoms, written as POSCAR:
```
Na3LiTi2F12
1.0
5.127 0.000 0.000
0.000 5.127 0.000
0.000 0.000 18.017
F Na Ti Li
24 6 4 2
direct
0.795 0.789 0.385
0.782 0.653 0.551
0.218 0.347 0.551
0.153 0.282 0.051
0.650 0.203 0.301
0.347 0.782 0.449
0.150 0.297 0.199
0.653 0.218 0.449
0.711 0.705 0.885
0.797 0.650 0.699
0.203 0.350 0.699
0.211 0.795 0.615
0.705 0.289 0.115
0.289 0.295 0.885
0.282 0.847 0.949
0.789 0.205 0.615
0.295 0.711 0.115
0.297 0.850 0.801
0.703 0.150 0.801
0.718 0.153 0.949
0.350 0.797 0.301
0.847 0.718 0.051
0.205 0.211 0.385
0.850 0.703 0.199
0.500 0.500 0.000
0.000 0.500 0.310
0.000 0.500 0.810
0.500 0.000 0.690
0.000 0.000 0.500
0.500 0.000 0.190
0.000 0.500 0.125
0.000 0.500 0.625
0.500 0.000 0.875
0.500 0.000 0.375
0.500 0.500 0.500
0.000 0.000 0.000
```

Its density of states at the Fermi level is 0.00 states/eV/cell. Its symmetry is P-42_1c. The raw formation energy is -3.4104 eV/atom. For the total moment, the calculation gives 0.6 μB per cell. The energy is -301.9 eV per cell.